BaTa: relaxed, GGA-PBE.

Cell lengths 3.7097, 3.7097, 9.9341 Å; angles 90.00, 90.00, 90.00 degrees
Closest atoms and distances in Å follow each position.
Fractional positions:
Ta: 0.2500 0.2500 0.5489  4 Ta 2.80
Ta: 0.7500 0.7500 0.4511  4 Ta 2.80
Ba: 0.7500 0.7500 0.7983  5 Ta 3.45-3.61, 4 Ba 3.71
Ba: 0.2500 0.2500 0.2017  5 Ta 3.45-3.61, 4 Ba 3.71

Results
Space-group type   P4/nmm (129)
Total moment   0.00 μB/f.u.
Calculated formation energy   0.613 eV/atom

GaFeSe2N: relaxed, GGA-PBE.

Cell lengths 5.0064, 5.0064, 3.3949 Å; angles 90.00, 90.00, 90.00 degrees
Closest atoms and distances in Å follow each position.
Fractional positions:
Se: 0.5000 0.0000 0.0000  2 Fe 2.50
Se: 0.0000 0.5000 0.0000  2 Fe 2.50
Ga: 0.5000 0.5000 0.5000  8 Se 3.02
N: 0.0000 0.0000 0.5000  2 Fe 1.70
Fe: 0.0000 0.0000 0.0000  2 N 1.70

Results
Space-group type   P4/mmm (123)
Total moment   0.26 μB/f.u.
ΔE_f (raw)   0.20 eV/atom